Here is a relaxed ZrSc2Cd crystal from Alexandria. Energies are from PBE.

The value obtained for the uncorrected energy is -5.6137 eV/atom. As for the magnetization: 0.0 μB per formula unit. For the energy of formation from the pure elements, the calculation gives -0.3 eV per formula unit. Its relative energy among the computed polymorphs is 90 meV per atom. The mass density comes out at 5.33 g cm⁻³.

Geometry as POSCAR:
```
ZrSc2Cd
1.0
-3.9922 4.1610 -1.6602
-5.7196 1.7779 -0.3640
-1.6145 3.3463 4.0004
Sc Cd Zr
2 1 1
Direct
0.2478 0.2478 0.3138
0.0164 0.0164 0.9081
0.7511 0.7511 0.8380
0.4846 0.4846 0.4401
```

***

Here is a relaxed Rb2MoPdI6 crystal from Alexandria. Energies are from PBE.

The value obtained for the uncorrected energy is -3.3020 eV/atom. As for the magnetization: 2.6 μB per formula unit. The mass density comes out at 4.98 g cm⁻³. Its uncorrected formation energy is -55.6 kJ per mole of atoms.

Geometry as POSCAR:
```
Rb2MoPdI6
1.0
8.1311 0.0000 0.0000
0.0000 8.1311 0.0000
4.0656 4.0656 5.7204
I Rb Pd Mo
6 2 1 1
Direct
0.7482 0.7482 0.5036
0.7468 0.7468 0.0000
0.7468 0.2532 0.0000
0.2518 0.2518 0.4964
0.2532 0.7468 0.0000
0.2532 0.2532 0.0000
0.7500 0.2500 0.5000
0.2500 0.7500 0.5000
0.0000 0.0000 0.0000
0.5000 0.5000 0.0000
```

***

Here is a relaxed Sm5Rh4Au crystal from Alexandria. Energies are from PBE.

The value obtained for the uncorrected energy is -6.3639 eV/atom. As for the magnetization: 0.0 μB per formula unit. For the energy of formation from the pure elements, the calculation gives -7.4 eV per formula unit. The mass density comes out at 10.20 g cm⁻³.

Geometry as POSCAR:
```
Sm5Rh4Au
1.0
-2.5892 -2.0106 1.2789
0.7835 -2.5019 -2.3471
11.4356 -7.3288 11.6296
Rh Sm Au
4 5 1
Direct
0.0000 0.0000 0.5981
0.0000 0.0000 0.2054
0.0000 0.0000 0.7946
0.0000 0.0000 0.4019
0.5000 0.5000 0.6950
0.5000 0.5000 0.3050
0.5000 0.5000 0.5000
0.5000 0.5000 0.1114
0.5000 0.5000 0.8886
0.0000 0.0000 0.0000
```

***

Here is a relaxed BeCuN2F crystal from Alexandria. Energies are from PBE.

The value obtained for the uncorrected energy is -4.1058 eV/atom. As for the magnetization: 1.7 μB per formula unit. Its relative energy among the computed polymorphs is 634 meV per atom. The mass density comes out at 3.66 g cm⁻³. Its uncorrected formation energy is 112.2 kJ per mole of atoms.

Geometry as POSCAR:
```
BeCuN2F
1.0
-3.3341 0.0216 -1.6178
0.6203 -3.4054 -1.3237
-1.5943 -1.5595 3.2648
N Be Cu F
2 1 1 1
Direct
0.0000 0.5000 0.0000
0.5000 0.0000 0.0000
0.5000 0.5000 0.5000
0.0000 0.0000 0.0000
0.0000 0.0000 0.5000
```

***

Here is a relaxed LiPuAlIn crystal from Alexandria. Energies are from PBE.

The value obtained for the uncorrected energy is -5.7767 eV/atom. As for the magnetization: 5.9 μB per formula unit. For the energy of formation from the pure elements, the calculation gives -0.4 eV per formula unit. The mass density comes out at 7.87 g cm⁻³.

Geometry as POSCAR:
```
LiPuAlIn
1.0
4.8944 0.0000 0.0000
2.4472 4.2387 0.0000
2.4472 1.4129 3.9963
Li In Al Pu
1 1 1 1
Direct
0.0000 0.0000 0.0000
0.2500 0.2500 0.2500
0.5000 0.5000 0.5000
0.7500 0.7500 0.7500
```

***

Here is a relaxed YOs2Br crystal from Alexandria. Energies are from PBE.

The value obtained for the uncorrected energy is -6.7095 eV/atom. As for the magnetization: 0.0 μB per formula unit. Its relative energy among the computed polymorphs is 1003 meV per atom. The mass density comes out at 12.51 g cm⁻³. Its uncorrected formation energy is 90.7 kJ per mole of atoms.

Geometry as POSCAR:
```
YOs2Br
1.0
-3.0172 -3.4262 -0.5940
2.4307 -1.5157 -3.6041
1.8578 -1.9990 2.0937
Br Os Y
1 2 1
Direct
0.0000 0.5000 0.5000
0.0000 0.0000 0.0000
0.5000 0.5000 0.0000
0.5000 0.0000 0.5000
```

***

Here is a relaxed P2PtICl crystal from Alexandria. Energies are from PBE.

The value obtained for the uncorrected energy is -3.5963 eV/atom. As for the magnetization: 0.0 μB per formula unit. Its relative energy among the computed polymorphs is 0 meV per atom. The mass density comes out at 6.21 g cm⁻³. Its uncorrected formation energy is 43.9 kJ per mole of atoms.

Geometry as POSCAR:
```
P2PtICl
1.0
-0.0047 4.6934 -0.7881
-0.7565 -0.7788 -4.6336
-4.8860 0.1256 0.7766
Cl Pt I P
1 1 1 2
Direct
0.0000 0.0000 0.5000
0.0000 0.0000 0.0000
0.5000 0.5000 0.5000
0.5000 0.0000 0.0000
0.0000 0.5000 0.0000
```

***

Here is a relaxed Na2PaInTe5 crystal from Alexandria. Energies are from PBE.

The value obtained for the uncorrected energy is -4.1027 eV/atom. As for the magnetization: 0.1 μB per formula unit. The mass density comes out at 5.09 g cm⁻³. Its uncorrected formation energy is -68.0 kJ per mole of atoms.

Geometry as POSCAR:
```
Na2PaInTe5
1.0
4.4644 0.0000 0.0000
-2.2322 9.7915 0.0000
0.0000 0.0000 15.3603
Te Na In Pa
10 4 2 2
Direct
0.2669 0.5339 0.3866
0.5124 0.0247 0.7698
0.7323 0.4646 0.1560
0.4876 0.9753 0.2698
0.3850 0.7701 0.0075
0.0782 0.1563 0.0388
0.6150 0.2299 0.5075
0.2677 0.5354 0.6560
0.9218 0.8437 0.5388
0.7331 0.4662 0.8866
0.0928 0.1856 0.6594
0.9072 0.8144 0.1594
0.9209 0.8419 0.8602
0.0791 0.1581 0.3602
0.4128 0.8256 0.4197
0.5872 0.1744 0.9197
0.2386 0.4772 0.0261
0.7614 0.5228 0.5261
```